Record 1
## NbZnSe3 (GGA-PBE)

Data for a relaxed NbZnSe3 crystal.

Cell and atoms, written as POSCAR:
```
NbZnSe3
1.0
-4.455 -1.190 -2.105
0.914 -4.914 0.844
-2.239 0.363 4.533
Nb Zn Se
1 1 3
direct
0.000 0.000 0.000 Nb
0.500 0.500 0.500 Zn
0.000 0.500 0.000 Se
0.000 0.000 0.500 Se
0.500 0.000 0.000 Se
```

Calculated values
Energy relative to the lowest polymorph listed for this composition = 0 meV/atom
Crystal system = cubic
Energy relative to the elements, uncorrected = -0.33 eV per formula unit
DFT total energy = -4.425 eV per atom

Record 2
## NbZnSe2 (GGA-PBE)

Data for a relaxed NbZnSe2 crystal.

Cell and atoms, written as POSCAR:
```
NbZnSe2
1.0
1.980 0.000 8.944
-0.990 1.715 8.944
-0.990 -1.715 8.944
Nb Zn Se
1 1 2
direct
0.500 0.500 0.500 Nb
0.000 0.000 0.000 Zn
0.897 0.897 0.897 Se
0.103 0.103 0.103 Se
```

Calculated values
Crystal system = trigonal
Energy relative to the elements, uncorrected = -1.81 eV per formula unit
DFT total energy = -5.031 eV per atom

Record 3
## NbZn2Se (GGA-PBE)

Data for a relaxed NbZn2Se crystal.

Cell and atoms, written as POSCAR:
```
NbZn2Se
1.0
7.510 0.000 0.000
0.000 7.510 0.000
3.755 3.755 2.569
Nb Zn Se
2 4 2
direct
0.000 0.000 0.000 Nb
0.750 0.250 0.500 Nb
0.612 0.125 0.250 Zn
0.138 0.625 0.250 Zn
0.375 0.388 0.750 Zn
0.875 0.862 0.750 Zn
0.500 0.500 0.000 Se
0.250 0.750 0.500 Se
```

Calculated values
Crystal system = tetragonal
Energy relative to the elements, uncorrected = 0.63 eV per formula unit
DFT total energy = -3.868 eV per atom

Record 4
## NbZnSe2 (GGA-PBE)

Data for a relaxed NbZnSe2 crystal.

Cell and atoms, written as POSCAR:
```
NbZnSe2
1.0
6.031 0.000 0.000
0.000 6.031 0.000
3.016 3.016 5.583
Nb Zn Se
2 2 4
direct
0.000 0.000 0.000 Nb
0.750 0.250 0.500 Nb
0.500 0.500 0.000 Zn
0.250 0.750 0.500 Zn
0.609 0.125 0.250 Se
0.141 0.625 0.250 Se
0.375 0.391 0.750 Se
0.875 0.859 0.750 Se
```

Calculated values
Crystal system = tetragonal
Energy relative to the elements, uncorrected = -0.75 eV per formula unit
DFT total energy = -4.765 eV per atom

Record 5
## NbZnSe2 (GGA-PBE)

Data for a relaxed NbZnSe2 crystal.

Cell and atoms, written as POSCAR:
```
NbZnSe2
1.0
0.641 0.858 8.294
2.062 -2.348 7.757
4.034 0.566 7.303
Nb Zn Se
1 1 2
direct
0.000 0.000 0.000 Nb
0.500 0.500 0.500 Zn
0.898 0.898 0.898 Se
0.102 0.102 0.102 Se
```

Calculated values
Crystal system = trigonal
Energy relative to the elements, uncorrected = 0.59 eV per formula unit
DFT total energy = -4.431 eV per atom

Record 6
## Zr2NbSe6 (GGA-PBE)

Data for a relaxed Zr2NbSe6 crystal.

Cell and atoms, written as POSCAR:
```
Zr2NbSe6
1.0
-1.023 3.523 -0.358
-6.668 -1.494 4.359
7.015 0.654 5.368
Zr Nb Se
2 1 6
direct
0.835 0.669 0.670 Zr
0.165 0.331 0.330 Zr
0.500 0.000 0.000 Nb
0.339 0.916 0.678 Se
0.999 0.233 0.998 Se
0.668 0.576 0.337 Se
0.001 0.767 0.002 Se
0.661 0.084 0.322 Se
0.332 0.424 0.663 Se
```

Calculated values
Crystal system = monoclinic
Energy relative to the elements, uncorrected = -10.22 eV per formula unit
DFT total energy = -6.477 eV per atom

Record 7
## ZrNbSe6 (GGA-PBE)

Data for a relaxed ZrNbSe6 crystal.

Cell and atoms, written as POSCAR:
```
ZrNbSe6
1.0
6.482 0.136 -0.233
3.347 5.409 0.359
3.056 2.279 5.990
Zr Nb Se
1 1 6
direct
0.000 0.000 0.000 Zr
0.500 0.500 0.500 Nb
0.053 0.490 0.651 Se
0.679 0.013 0.834 Se
0.664 0.268 0.243 Se
0.321 0.987 0.166 Se
0.947 0.510 0.349 Se
0.336 0.732 0.757 Se
```

Calculated values
Crystal system = triclinic
Energy relative to the elements, uncorrected = -4.38 eV per formula unit
DFT total energy = -5.488 eV per atom

Record 8
## ZrNbSe2 (GGA-PBE)

Data for a relaxed ZrNbSe2 crystal.

Cell and atoms, written as POSCAR:
```
ZrNbSe2
1.0
-7.880 4.744 -0.412
-6.966 5.366 2.730
-5.731 7.203 0.242
Nb Se Zr
1 2 1
direct
0.500 0.500 0.500 Nb
0.899 0.899 0.899 Se
0.101 0.101 0.101 Se
0.000 0.000 0.000 Zr
```

Calculated values
Energy relative to the lowest polymorph listed for this composition = 214 meV/atom
Crystal system = trigonal
Energy relative to the elements, uncorrected = -2.00 eV per formula unit
DFT total energy = -6.897 eV per atom

Record 9
## Zr3NbSe (GGA-PBE)

Data for a relaxed Zr3NbSe crystal.

Cell and atoms, written as POSCAR:
```
Zr3NbSe
1.0
4.944 0.000 0.000
0.000 4.944 0.000
0.000 0.000 4.944
Nb Se Zr
1 1 3
direct
0.500 0.500 0.500 Nb
0.000 0.000 0.000 Se
0.000 0.500 0.000 Zr
0.000 0.000 0.500 Zr
0.500 0.000 0.000 Zr
```

Calculated values
Energy relative to the lowest polymorph listed for this composition = 0 meV/atom
Crystal system = cubic
Energy relative to the elements, uncorrected = 0.78 eV per formula unit
DFT total energy = -7.684 eV per atom

Record 10
## ZrNbSe4 (GGA-PBE)

Data for a relaxed ZrNbSe4 crystal.

Cell and atoms, written as POSCAR:
```
ZrNbSe4
1.0
-4.211 -2.527 4.261
5.353 -3.636 -0.449
2.790 7.312 3.925
Zr Nb Se
2 2 8
direct
0.810 0.060 0.120 Zr
0.190 0.940 0.880 Zr
0.316 0.566 0.133 Nb
0.684 0.434 0.867 Nb
0.332 0.081 0.649 Se
0.062 0.807 0.134 Se
0.183 0.431 0.351 Se
0.428 0.674 0.866 Se
0.668 0.919 0.351 Se
0.817 0.569 0.649 Se
0.938 0.193 0.866 Se
0.572 0.326 0.134 Se
```

Calculated values
Crystal system = monoclinic
Energy relative to the elements, uncorrected = -5.37 eV per formula unit
DFT total energy = -6.320 eV per atom

Record 11
## ZrNb2Se4 (GGA-PBE)

Data for a relaxed ZrNb2Se4 crystal.

Cell and atoms, written as POSCAR:
```
ZrNb2Se4
1.0
-1.968 -2.545 -4.286
-0.003 -4.607 2.737
-6.821 -2.397 1.205
Nb Se Zr
2 4 1
direct
0.410 0.410 0.181 Nb
0.590 0.590 0.819 Nb
0.206 0.206 0.589 Se
0.794 0.794 0.411 Se
0.000 0.500 0.000 Se
0.500 0.000 0.000 Se
0.000 0.000 0.000 Zr
```

Calculated values
Crystal system = tetragonal
Energy relative to the elements, uncorrected = -1.04 eV per formula unit
DFT total energy = -6.238 eV per atom

Record 12
## ZrNb3Se (GGA-PBE)

Data for a relaxed ZrNb3Se crystal.

Cell and atoms, written as POSCAR:
```
ZrNb3Se
1.0
4.953 0.000 0.000
0.000 4.953 0.000
0.000 0.000 4.953
Nb Se Zr
3 1 1
direct
0.000 0.500 0.000 Nb
0.000 0.000 0.500 Nb
0.500 0.000 0.000 Nb
0.500 0.500 0.500 Se
0.000 0.000 0.000 Zr
```

Calculated values
Energy relative to the lowest polymorph listed for this composition = 1231 meV/atom
Crystal system = cubic
Energy relative to the elements, uncorrected = 8.12 eV per formula unit
DFT total energy = -6.824 eV per atom